Computed, not measured: a geometry-optimized Rb2NiO2 structure at the PBE+U level of DFT.

a b c (Å): 9.497 4.417 12.277
angles (deg): 90.00 90.00 90.00
Sites, in units of the cell vectors:
1 Rb 0.021 0.250 0.138
2 Rb 0.188 0.750 0.391
3 Rb 0.312 0.250 0.891
4 Rb 0.479 0.750 0.638
5 Rb 0.521 0.250 0.362
6 Rb 0.688 0.750 0.109
7 Rb 0.812 0.250 0.609
8 Rb 0.979 0.750 0.862
9 Ni 0.182 0.250 0.624
10 Ni 0.318 0.750 0.124
11 Ni 0.682 0.250 0.876
12 Ni 0.818 0.750 0.376
13 O 0.074 0.250 0.736
14 O 0.207 0.750 0.014
15 O 0.293 0.250 0.514
16 O 0.426 0.750 0.236
17 O 0.574 0.250 0.764
18 O 0.707 0.750 0.486
19 O 0.793 0.250 0.986
20 O 0.926 0.750 0.264

Computed properties:
electronic total energy	-79.33	eV for the cell shown
space-group type	No. 62
total magnetization	2.00	μB per formula unit
ρ	3.374	g/cm3